(1)
Tb6HgSe4, optimized geometry, DFT PBE-GGA; space-group type = No. 63; electronic total energy = -5.216 eV/atom; total magnetization = 0.000 μB/atom; formation energy without anion corrections = -1.40 eV per atom; D(E_F) = 12.13 states/eV per cell
1.0
2.037 -6.750 0.000
2.037 6.750 0.000
0.000 0.000 20.857
Tb Hg Se
12 2 8
direct
0.000 0.000 0.000 Tb
0.000 0.000 0.500 Tb
0.166 0.834 0.750 Tb
0.272 0.728 0.087 Tb
0.272 0.728 0.413 Tb
0.453 0.547 0.664 Tb
0.453 0.547 0.836 Tb
0.547 0.453 0.164 Tb
0.547 0.453 0.336 Tb
0.728 0.272 0.587 Tb
0.728 0.272 0.913 Tb
0.834 0.166 0.250 Tb
0.163 0.837 0.250 Hg
0.837 0.163 0.750 Hg
0.089 0.911 0.624 Se
0.089 0.911 0.876 Se
0.361 0.639 0.540 Se
0.361 0.639 0.960 Se
0.639 0.361 0.040 Se
0.639 0.361 0.460 Se
0.911 0.089 0.124 Se
0.911 0.089 0.376 Se



(2)
ThUSe2O, optimized geometry, DFT PBE-GGA; space-group type = No. 129; electronic total energy = -8.118 eV/atom; total magnetization = 0.508 μB/atom; formation energy without anion corrections = -1.99 eV per atom; D(E_F) = 18.46 states/eV per cell
1.0
4.058 0.000 0.000
0.000 4.058 0.000
0.000 0.000 13.761
Th U Se O
2 2 4 2
direct
0.250 0.250 0.098 Th
0.750 0.750 0.902 Th
0.250 0.250 0.586 U
0.750 0.750 0.414 U
0.250 0.250 0.314 Se
0.250 0.250 0.871 Se
0.750 0.750 0.129 Se
0.750 0.750 0.686 Se
0.250 0.750 0.500 O
0.750 0.250 0.500 O